[1]
BaNb2As: relaxed, PBE.

Properties
Symmetry: No. 122

a b c (Å): 4.940 4.940 10.247
angles (deg): 76.05 76.05 90.00
Atoms (fractional coordinates):
As 0.250 0.750 0.500
As 0.500 0.500 0.000
Ba 0.000 0.000 0.000
Ba 0.750 0.250 0.500
Nb 0.366 0.625 0.250
Nb 0.875 0.634 0.750
Nb 0.384 0.125 0.250
Nb 0.375 0.616 0.750

=====

[2]
BaNbNiAs2: relaxed, PBE.

Properties
Symmetry: No. 119

a b c (Å): 4.073 4.073 7.412
angles (deg): 105.95 105.95 90.00
Atoms (fractional coordinates):
As 0.360 0.360 0.719
As 0.640 0.640 0.281
Ba 0.000 0.000 0.000
Nb 0.750 0.250 0.500
Ni 0.250 0.750 0.500

=====

[3]
BaNb2AsO8: relaxed, PBE.

Properties
Raw formation energy: -24.9 eV per formula unit
Symmetry: No. 12

a b c (Å): 5.685 6.176 7.873
angles (deg): 52.66 68.84 62.60
Atoms (fractional coordinates):
Ba 0.500 0.500 0.500
O 0.677 0.490 0.156
O 0.888 0.434 0.790
Nb 0.705 0.721 0.870
O 0.112 0.566 0.210
O 0.351 0.987 0.803
O 0.141 0.013 0.197
O 0.649 0.013 0.197
Nb 0.295 0.279 0.130
O 0.859 0.987 0.803
O 0.323 0.510 0.844
As 0.000 0.000 0.000

=====

[4]
Ba2NbAsOs: relaxed, PBE.

Properties
Symmetry: No. 123

a b c (Å): 6.185 4.905 6.185
angles (deg): 90.00 90.00 90.00
Each line ends with the local moment (μB).
Atoms (fractional coordinates):
Ba 0.000 0.000 0.500  0.02
Nb 0.000 0.500 0.000  1.83
Os 0.500 0.500 0.500  1.81
Ba 0.500 0.000 0.000  0.02
As 0.000 0.000 0.000  -0.06

=====

[5]
RbBa2NbAs: relaxed, PBE.

Properties
Symmetry: No. 123

a b c (Å): 6.611 5.104 6.611
angles (deg): 90.00 90.00 90.00
Each line ends with the local moment (μB).
Atoms (fractional coordinates):
Rb 0.500 0.500 0.500  0.00
Ba 0.000 0.000 0.500  0.06
As 0.000 0.000 0.000  -0.08
Ba 0.500 0.000 0.000  0.04
Nb 0.000 0.500 0.000  1.93

=====

[6]
BaNbAs2Ru: relaxed, PBE.

Properties
Symmetry: No. 119

a b c (Å): 4.055 4.055 7.535
angles (deg): 105.61 105.61 90.00
Atoms (fractional coordinates):
Nb 0.250 0.750 0.500
As 0.635 0.635 0.271
As 0.365 0.365 0.729
Ba 0.000 0.000 0.000
Ru 0.750 0.250 0.500

=====

[7]
BaScNb2As: relaxed, PBE.

Properties
Symmetry: No. 123

a b c (Å): 4.907 5.865 4.907
angles (deg): 90.00 90.00 90.00
Atoms (fractional coordinates):
Nb 0.000 0.000 0.500
Ba 0.000 0.500 0.000
Sc 0.500 0.500 0.500
As 0.000 0.000 0.000
Nb 0.500 0.000 0.000

=====

[8]
Ba2NbAsSe: relaxed, PBE.

Properties
Raw formation energy: 1.4 eV per formula unit
Symmetry: No. 123

a b c (Å): 6.170 6.170 5.131
angles (deg): 90.00 90.00 90.00
Each line ends with the local moment (μB).
Atoms (fractional coordinates):
Nb 0.500 0.500 0.500  2.89
Ba 0.500 0.000 0.000  0.06
Se 0.000 0.000 0.000  -0.02
As 0.000 0.000 0.500  -0.13
Ba 0.000 0.500 0.000  0.06

=====

| no. | energy (eV/atom) |
| --- | --- |
| 1 | -6.343 |
| 2 | -6.118 |
| 3 | -7.606 |
| 4 | -4.879 |
| 5 | -3.792 |
| 6 | -6.795 |
| 7 | -5.990 |
| 8 | -4.138 |